Record 1
{
  "formula": "Dy2YHo2Tm2Ni2Te2",
  "functional": "PBE",
  "state": "optimized geometry",
  "lattice_angstrom": [[9.2847, 0.5359, -0.6553], [-4.2792, 4.8637, 6.7048], [3.8308, -7.5190, -3.9637]],
  "species": ["Tm", "Tm", "Dy", "Dy", "Y", "Te", "Te", "Ho", "Ho", "Ni", "Ni"],
  "frac_coords": [[0.7825, 0.0973, 0.6852], [0.4120, 0.0973, 0.3148], [0.7616, 0.8945, 0.8672], [0.0273, 0.8945, 0.1328], [0.4768, 0.4768, 0.0000], [0.1413, 0.1413, 0.0000], [0.7404, 0.2404, 0.5000], [0.0987, 0.7464, 0.3523], [0.3941, 0.7464, 0.6477], [0.1685, 0.4056, 0.7628], [0.6428, 0.4056, 0.2372]],
  "total_energy_ev_per_fu": -58.76
}

Record 2
{
  "formula": "DyY4Ho2Ni2Te2",
  "functional": "PBE",
  "state": "optimized geometry",
  "lattice_angstrom": [[-5.5355, -2.1935, 7.2260], [-0.0963, 8.8059, -3.1804], [-2.3452, -9.0624, 0.2009]],
  "species": ["Y", "Y", "Y", "Y", "Ni", "Ni", "Te", "Te", "Ho", "Ho", "Dy"],
  "frac_coords": [[0.0259, 0.8945, 0.1314], [0.3924, 0.7459, 0.6465], [0.7631, 0.8945, 0.8686], [0.0994, 0.7459, 0.3535], [0.6446, 0.4070, 0.2376], [0.1693, 0.4070, 0.7624], [0.7402, 0.2402, 0.5000], [0.1416, 0.1416, 0.0000], [0.4110, 0.0960, 0.3151], [0.7809, 0.0960, 0.6849], [0.4776, 0.4776, 0.0000]],
  "total_energy_ev_per_fu": -64.55
}

Record 3
{
  "formula": "Dy3Y2Ho2Ni2Te2",
  "functional": "PBE",
  "state": "optimized geometry",
  "lattice_angstrom": [[4.6540, -3.3260, -7.4131], [4.7293, 1.4797, 7.9448], [-5.4751, -4.7000, -5.9673]],
  "species": ["Ho", "Ho", "Ni", "Ni", "Te", "Te", "Y", "Y", "Dy", "Dy", "Dy"],
  "frac_coords": [[0.7812, 0.0967, 0.6845], [0.4122, 0.0967, 0.3155], [0.1670, 0.4055, 0.7615], [0.6440, 0.4055, 0.2385], [0.7414, 0.2414, 0.5000], [0.1415, 0.1415, 0.0000], [0.3918, 0.7454, 0.6464], [0.0990, 0.7454, 0.3536], [0.0268, 0.8953, 0.1316], [0.7637, 0.8953, 0.8684], [0.4774, 0.4774, 0.0000]],
  "total_energy_ev_per_fu": -60.80
}

Record 4
{
  "formula": "DyHoTl4Ni2",
  "functional": "PBE",
  "state": "optimized geometry",
  "lattice_angstrom": [[7.5117, 0.0000, 0.0000], [0.0000, 2.1851, 5.3459], [0.0000, -2.1851, 5.3459]],
  "species": ["Dy", "Ho", "Tl", "Tl", "Tl", "Tl", "Ni", "Ni"],
  "frac_coords": [[0.0000, 0.4296, 0.4296], [0.5000, 0.5706, 0.5706], [0.2044, 0.1407, 0.1407], [0.2961, 0.8591, 0.8591], [0.7956, 0.1407, 0.1407], [0.7039, 0.8591, 0.8591], [0.5000, 0.2901, 0.2901], [0.0000, 0.7101, 0.7101]],
  "total_energy_ev_per_fu": -31.15
}

Record 5
{
  "formula": "DyHo2O4",
  "functional": "PBE",
  "state": "optimized geometry",
  "lattice_angstrom": [[4.7548, -4.7560, 0.0000], [-4.7548, 0.0000, -4.7560], [4.7548, 4.7560, 0.0000]],
  "species": ["Ho", "Ho", "Ho", "Ho", "O", "O", "O", "O", "O", "O", "O", "O", "Dy", "Dy"],
  "frac_coords": [[0.3750, 0.7500, 0.1250], [0.8750, 0.2500, 0.6250], [0.3750, 0.7500, 0.6250], [0.3750, 0.2500, 0.6250], [0.1339, 0.2676, 0.8662], [0.1514, 0.7676, 0.3838], [0.5986, 0.7324, 0.8662], [0.6162, 0.2324, 0.8486], [0.1338, 0.7324, 0.8661], [0.6162, 0.7676, 0.3839], [0.6161, 0.2324, 0.3838], [0.1338, 0.2676, 0.4014], [0.0000, 0.0000, 0.0000], [0.7500, 0.5000, 0.2500]],
  "total_energy_ev_per_fu": -56.33
}

Record 6
{
  "formula": "DyHoSO2",
  "functional": "PBE",
  "state": "optimized geometry",
  "lattice_angstrom": [[-0.3388, 0.9049, -3.6526], [3.1178, -1.7416, 1.2334], [-2.7838, -5.8223, -1.1842]],
  "species": ["Dy", "S", "O", "O", "Ho"],
  "frac_coords": [[0.0000, 0.0000, 0.2819], [0.3333, 0.6667, 0.9990], [0.0000, 0.0000, 0.6304], [0.6667, 0.3333, 0.3713], [0.6667, 0.3333, 0.7173]],
  "total_energy_ev_per_fu": -39.30
}

Record 7
{
  "formula": "DyHoSeO2",
  "functional": "PBE",
  "state": "optimized geometry",
  "lattice_angstrom": [[-3.7831, -0.2448, 0.3866], [2.2850, -1.9491, 2.3454], [0.0962, 5.2345, 4.2562]],
  "species": ["Dy", "O", "O", "Ho", "Se"],
  "frac_coords": [[0.0000, 0.0000, 0.2899], [0.6667, 0.3333, 0.3745], [0.0000, 0.0000, 0.6273], [0.6667, 0.3333, 0.7095], [0.3333, 0.6667, 0.9989]],
  "total_energy_ev_per_fu": -38.20
}

Record 8
{
  "formula": "DyHoTeO2",
  "functional": "PBE",
  "state": "optimized geometry",
  "lattice_angstrom": [[4.6289, -4.9503, 0.3197], [0.0198, -5.9998, 3.1682], [-3.4347, 4.2926, -3.9763]],
  "species": ["Dy", "O", "O", "Te", "Ho"],
  "frac_coords": [[0.3381, 0.3381, 0.0000], [0.2494, 0.7494, 0.5000], [0.7494, 0.2494, 0.5000], [0.0002, 0.0002, 0.0000], [0.6628, 0.6628, 0.0000]],
  "total_energy_ev_per_fu": -37.09,
  "e_above_lowest_polymorph_mev_per_atom": 0
}

Record 9
{
  "formula": "DyHoTeO2",
  "functional": "PBE",
  "state": "optimized geometry",
  "lattice_angstrom": [[3.8763, 0.0000, 0.0000], [-1.9382, 3.3570, 0.0000], [0.0000, 0.0000, 7.1601]],
  "species": ["Dy", "Ho", "Te", "O", "O"],
  "frac_coords": [[0.0000, 0.0000, 0.3044], [0.6667, 0.3333, 0.6950], [0.3333, 0.6667, 0.9990], [0.0000, 0.0000, 0.6213], [0.6667, 0.3333, 0.3803]],
  "total_energy_ev_per_fu": -36.69,
  "e_above_lowest_polymorph_mev_per_atom": 82
}

Record 10
{
  "formula": "DyHoOs",
  "functional": "PBE",
  "state": "optimized geometry",
  "lattice_angstrom": [[3.4823, -1.4293, -2.8265], [3.0702, -3.2376, 1.5000], [-0.0781, -4.3399, -1.8214]],
  "species": ["Os", "Dy", "Ho"],
  "frac_coords": [[0.7500, 0.7500, 0.7500], [0.0000, 0.0000, 0.0000], [0.2500, 0.2500, 0.2500]],
  "total_energy_ev_per_fu": -18.24,
  "formation_energy_ev_per_fu": 2.163,
  "e_above_lowest_polymorph_mev_per_atom": 978
}

Record 11
{
  "formula": "DyHoOs",
  "functional": "PBE",
  "state": "optimized geometry",
  "lattice_angstrom": [[7.4069, 0.0000, 0.0000], [0.0000, 4.3447, 0.0000], [0.0000, 0.0000, 8.8251]],
  "species": ["Ho", "Ho", "Ho", "Ho", "Os", "Os", "Os", "Os", "Dy", "Dy", "Dy", "Dy"],
  "frac_coords": [[0.0217, 0.2500, 0.3350], [0.4783, 0.7500, 0.8350], [0.9783, 0.7500, 0.6650], [0.5217, 0.2500, 0.1650], [0.7522, 0.2500, 0.8824], [0.7478, 0.7500, 0.3824], [0.2522, 0.2500, 0.6176], [0.2478, 0.7500, 0.1176], [0.1470, 0.2500, 0.9315], [0.6470, 0.2500, 0.5685], [0.3530, 0.7500, 0.4315], [0.8530, 0.7500, 0.0685]],
  "total_energy_ev_per_fu": -21.14,
  "formation_energy_ev_per_fu": -0.738,
  "e_above_lowest_polymorph_mev_per_atom": 11
}

Record 12
{
  "formula": "DyHoOs",
  "functional": "PBE",
  "state": "optimized geometry",
  "lattice_angstrom": [[7.4064, 0.0000, 0.0000], [0.0000, 4.3437, 0.0000], [0.0000, 0.0000, 8.8237]],
  "species": ["Ho", "Ho", "Ho", "Ho", "Dy", "Dy", "Dy", "Dy", "Os", "Os", "Os", "Os"],
  "frac_coords": [[0.6468, 0.7500, 0.9316], [0.8532, 0.2500, 0.4316], [0.1468, 0.7500, 0.5684], [0.3532, 0.2500, 0.0684], [0.9782, 0.2500, 0.8349], [0.5218, 0.7500, 0.3349], [0.0218, 0.7500, 0.1651], [0.4782, 0.2500, 0.6651], [0.7476, 0.2500, 0.1176], [0.2476, 0.2500, 0.3824], [0.7524, 0.7500, 0.6176], [0.2524, 0.7500, 0.8824]],
  "total_energy_ev_per_fu": -21.18,
  "formation_energy_ev_per_fu": -0.772,
  "e_above_lowest_polymorph_mev_per_atom": 0
}